1.
The following is a meta-GGA SCAN calculation of a PBEsol-optimized structure of Mg2AlCd, from Alexandria via LeMat-Bulk.

Summary:
Space-group type = Pmm2
ΔE to the lowest computed polymorph = 51 meV/atom
VASP energy = -48.16 eV per cell
ΔE_f = -0.01 eV per atom

abc: 3.137 4.272 6.045
angles: 90.00 90.00 90.00
Atoms (fractional coordinates):
Mg1 0.000 0.000 0.000
Mg2 0.500 0.500 0.269
Al1 0.000 0.000 0.502
Cd1 0.500 0.500 0.756



2.
The following is a meta-GGA SCAN calculation of a PBEsol-optimized structure of Mg2AlCd, from Alexandria via LeMat-Bulk.

Summary:
Space-group type = Pmmm
ΔE to the lowest computed polymorph = 0 meV/atom
VASP energy = -48.36 eV per cell
ΔE_f = -0.06 eV per atom

abc: 3.032 4.275 6.130
angles: 90.00 90.00 90.00
Atoms (fractional coordinates):
Mg1 0.000 0.000 0.246
Mg2 0.000 0.000 0.754
Al1 0.500 0.500 0.000
Cd1 0.500 0.500 0.500



3.
The following is a meta-GGA SCAN calculation of a PBEsol-optimized structure of Mg2AlCd, from Alexandria via LeMat-Bulk.

Summary:
Space-group type = R-3m
ΔE to the lowest computed polymorph = 41 meV/atom
VASP energy = -48.20 eV per cell
ΔE_f = -0.02 eV per atom

abc: 9.770 9.770 9.770
angles: 18.39 18.39 18.39
Atoms (fractional coordinates):
Mg1 0.248 0.248 0.248
Mg2 0.752 0.752 0.752
Al1 0.500 0.500 0.500
Cd1 0.000 0.000 0.000